No. 1
Entry from the Alexandria database: an optimized crystal structure of Dy6Tm8Mg (GGA-PBE).

Properties
Symmetry: P-3, No. 147
Energy of formation from the pure elements: 0.254 eV/atom

Cell: 6.559 9.203 9.203 Å, 120.00 90.00 90.00°
Fractional positions:
Dy (0.598, 0.681, 0.090)
Dy (0.598, 0.910, 0.591)
Dy (0.598, 0.409, 0.319)
Dy (0.402, 0.319, 0.910)
Dy (0.402, 0.090, 0.409)
Dy (0.402, 0.591, 0.681)
Tm (0.897, 0.980, 0.314)
Tm (0.897, 0.686, 0.666)
Tm (0.897, 0.334, 0.020)
Tm (0.103, 0.020, 0.686)
Tm (0.103, 0.314, 0.334)
Tm (0.103, 0.666, 0.980)
Tm (0.829, 0.333, 0.667)
Tm (0.171, 0.667, 0.333)
Mg (0.500, 0.000, 0.000)

=====

No. 2
Entry from the Alexandria database: an optimized crystal structure of LiThAgSe3 (GGA-PBE).

Properties
Symmetry: P2_1/m, No. 11
Raw formation energy: -1.1470 eV per atom

Cell: 4.079 8.790 8.736 Å, 105.53 90.00 90.00°
Fractional positions:
Li (0.250, 0.110, 0.602)
Li (0.750, 0.890, 0.398)
Th (0.250, 0.188, 0.217)
Th (0.750, 0.812, 0.783)
Ag (0.250, 0.594, 0.211)
Ag (0.750, 0.406, 0.789)
Se (0.750, 0.935, 0.134)
Se (0.250, 0.065, 0.866)
Se (0.250, 0.780, 0.509)
Se (0.750, 0.220, 0.491)
Se (0.750, 0.382, 0.117)
Se (0.250, 0.618, 0.883)

=====

No. 3
Entry from the Alexandria database: an optimized crystal structure of Mg2Zn2In (GGA-PBE).

Properties
Symmetry: I4/mmm, No. 139
Energy of formation from the pure elements: 0.079 eV/atom

Cell: 4.126 4.126 6.925 Å, 72.67 72.67 90.00°
Fractional positions:
Zn (0.402, 0.402, 0.196)
Zn (0.598, 0.598, 0.804)
Mg (0.750, 0.250, 0.500)
Mg (0.250, 0.750, 0.500)
In (0.000, 0.000, 0.000)

=====

No. 4
Entry from the Alexandria database: an optimized crystal structure of HfTaNbOs (GGA-PBE).

Properties
Symmetry: F-43m, No. 216
Energy of formation from the pure elements: -0.287 eV/atom
E above lowest polymorph: 0.00 eV per formula unit

Cell: 4.629 4.629 4.629 Å, 60.00 60.00 60.00°
Fractional positions:
Hf (0.000, 0.000, 0.000)
Nb (0.250, 0.250, 0.250)
Os (0.750, 0.750, 0.750)
Ta (0.500, 0.500, 0.500)

=====

No. 5
Entry from the Alexandria database: an optimized crystal structure of Pm2ScPa (GGA-PBE).

Properties
Symmetry: Fm-3m, No. 225
Energy of formation from the pure elements: 0.381 eV/atom
E above lowest polymorph: 0.79 eV per formula unit

Cell: 5.519 5.519 5.519 Å, 60.00 60.00 60.00°
Each line ends with the local moment (μB).
Fractional positions:
Sc (0.000, 0.000, 0.000)  0.37
Pa (0.500, 0.500, 0.500)  1.37
Pm (0.250, 0.250, 0.250)  0.32
Pm (0.750, 0.750, 0.750)  0.32

=====

No. 6
Entry from the Alexandria database: an optimized crystal structure of NpTaHgO6 (GGA-PBE).

Properties
Symmetry: P-31c, No. 163
Raw formation energy: -2.2281 eV per atom

Cell: 5.594 5.594 9.801 Å, 90.00 90.00 120.00°
Each line ends with the local moment (μB).
Fractional positions:
Np (0.333, 0.667, 0.250)  2.10
Np (0.667, 0.333, 0.750)  2.10
Ta (0.667, 0.333, 0.250)  0.03
Ta (0.333, 0.667, 0.750)  0.03
Hg (0.000, 0.000, 0.000)  0.06
Hg (0.000, 0.000, 0.500)  0.06
O (0.641, 0.625, 0.141)  -0.04
O (0.983, 0.359, 0.141)  -0.04
O (0.359, 0.983, 0.641)  -0.04
O (0.017, 0.641, 0.859)  -0.04
O (0.375, 0.359, 0.359)  -0.04
O (0.983, 0.625, 0.359)  -0.04
O (0.625, 0.983, 0.859)  -0.04
O (0.641, 0.017, 0.359)  -0.04
O (0.017, 0.375, 0.641)  -0.04
O (0.375, 0.017, 0.141)  -0.04
O (0.625, 0.641, 0.641)  -0.04
O (0.359, 0.375, 0.859)  -0.04

=====

No. 7
Entry from the Alexandria database: an optimized crystal structure of SrInPt (GGA-PBE).

Properties
Symmetry: P2_1/m, No. 11
Energy of formation from the pure elements: -0.647 eV/atom

Cell: 5.418 8.698 8.698 Å, 70.94 63.65 63.65°
Fractional positions:
Sr (0.185, 0.682, 0.932)
Sr (0.815, 0.818, 0.568)
Sr (0.815, 0.318, 0.068)
Sr (0.185, 0.182, 0.432)
In (0.305, 0.396, 0.646)
In (0.305, 0.896, 0.146)
In (0.695, 0.604, 0.354)
In (0.695, 0.104, 0.854)
Pt (0.738, 0.443, 0.693)
Pt (0.738, 0.943, 0.193)
Pt (0.262, 0.557, 0.307)
Pt (0.262, 0.057, 0.807)

=====

No. 8
Entry from the Alexandria database: an optimized crystal structure of Cr2CoRe (GGA-PBE).

Properties
Symmetry: Pm, No. 6
Energy of formation from the pure elements: 0.108 eV/atom

Cell: 4.075 2.545 4.813 Å, 80.46 90.00 90.00°
Fractional positions:
Co (0.500, 0.884, 0.754)
Cr (0.000, 0.942, 0.008)
Cr (0.500, 0.207, 0.230)
Re (0.000, 0.468, 0.508)

=====

No. 9
Entry from the Alexandria database: an optimized crystal structure of Na2YCuBr6 (GGA-PBE).

Properties
Symmetry: Fm-3m, No. 225
Raw formation energy: -1.2475 eV per atom

Cell: 7.675 7.675 7.675 Å, 60.00 60.00 60.00°
Fractional positions:
Na (0.750, 0.750, 0.750)
Na (0.250, 0.250, 0.250)
Y (0.000, 0.000, 0.000)
Cu (0.500, 0.500, 0.500)
Br (0.256, 0.744, 0.256)
Br (0.744, 0.256, 0.256)
Br (0.744, 0.256, 0.744)
Br (0.256, 0.256, 0.744)
Br (0.744, 0.744, 0.256)
Br (0.256, 0.744, 0.744)

=====

No. 10
Entry from the Alexandria database: an optimized crystal structure of RbTi2Se2 (GGA-PBE).

Properties
Symmetry: I4/mmm, No. 139
Raw formation energy: -0.9430 eV per atom

Cell: 4.019 4.019 8.032 Å, 75.51 75.51 90.00°
Fractional positions:
Se (0.359, 0.359, 0.281)
Se (0.641, 0.641, 0.719)
Rb (0.000, 0.000, 0.000)
Ti (0.750, 0.250, 0.500)
Ti (0.250, 0.750, 0.500)

=====

No. 11
Entry from the Alexandria database: an optimized crystal structure of Pu3PtRh2 (GGA-PBE).

Properties
Symmetry: P4/mmm, No. 123
Energy of formation from the pure elements: -0.530 eV/atom
E above lowest polymorph: 0.00 eV per formula unit

Cell: 3.451 3.451 10.362 Å, 90.00 90.00 90.00°
Each line ends with the local moment (μB).
Fractional positions:
Pu (0.000, 0.000, 0.000)  5.07
Pu (0.000, 0.000, 0.673)  5.14
Pu (0.000, 0.000, 0.327)  5.14
Pt (0.500, 0.500, 0.500)  -0.08
Rh (0.500, 0.500, 0.838)  -0.41
Rh (0.500, 0.500, 0.162)  -0.41

=====

No. 12
Entry from the Alexandria database: an optimized crystal structure of Ho4SnIr2 (GGA-PBE).

Properties
Symmetry: R-3m, No. 166
Energy of formation from the pure elements: -0.715 eV/atom

Cell: 4.632 4.632 10.082 Å, 76.72 76.72 60.00°
Fractional positions:
Ho (0.388, 0.388, 0.837)
Ho (0.201, 0.201, 0.396)
Ho (0.799, 0.799, 0.604)
Ho (0.612, 0.612, 0.163)
Sn (0.000, 0.000, 0.000)
Ir (0.098, 0.098, 0.705)
Ir (0.902, 0.902, 0.295)

=====

No. 13
Entry from the Alexandria database: an optimized crystal structure of Rb2SrZrCl6 (GGA-PBE).

Properties
Symmetry: Fm-3m, No. 225
Raw formation energy: -1.8514 eV per atom

Cell: 7.729 7.729 7.729 Å, 60.00 60.00 90.00°
Each line ends with the local moment (μB).
Fractional positions:
Sr (0.500, 0.500, 0.000)  0.03
Rb (0.750, 0.250, 0.500)  0.00
Rb (0.250, 0.750, 0.500)  0.00
Zr (0.000, 0.000, 0.000)  1.25
Cl (0.240, 0.240, 0.519)  -0.01
Cl (0.760, 0.760, 0.481)  -0.01
Cl (0.240, 0.240, 0.000)  -0.01
Cl (0.760, 0.760, 0.000)  -0.01
Cl (0.760, 0.240, 0.000)  -0.01
Cl (0.240, 0.760, 0.000)  -0.01